# ZrBe17Cu | Alexandria via LeMat-Bulk | PBE | relaxed
data_ZrBe17Cu
_cell_length_a 7.4106
_cell_length_b 7.4106
_cell_length_c 10.8914
_cell_angle_alpha 90.00
_cell_angle_beta 90.00
_cell_angle_gamma 120.00
_space_group_name_H-M_alt 'R 3 m'
_space_group_IT_number 160
_space_group_name_Hall 'R 3 -2"'
loop_
_atom_site_label
_atom_site_fract_x
_atom_site_fract_y
_atom_site_fract_z
Zr1 0.0000 0.0000 0.0000
Be1 0.0000 0.0000 0.2435
Be2 0.0000 0.0000 0.4417
Be3 0.0032 0.5016 0.1855
Be4 0.0046 0.5023 0.4990
Be5 0.0067 0.3003 0.3404
Be6 0.0127 0.5064 0.8346
Cu1 0.0000 0.0000 0.7069
# D(E_F)   7.04 states/eV per cell
# Formation energy from the elements   -91 meV per atom
# Magnetic moment   0.00 μB per cell